An optimized crystal structure of SrTiVO5, computed with GGA+U.

The structure in extended XYZ format:
```
16
Lattice="5.779 -0.037 0.012 -1.722 5.516 0.012 -1.671 -2.257 6.769" Properties=species:S:1:pos:R:3 pbc="T T T"
Sr 0.292 3.151 1.704
O -0.154 0.710 3.953
O 2.539 2.512 2.840
Ti 0.000 0.000 0.000
Ti -0.836 -1.129 3.385
Sr 2.093 0.071 5.089
V -0.583 2.052 5.089
O -2.090 1.864 6.115
V 2.968 1.170 1.704
O -1.716 4.638 1.704
O 0.826 2.033 6.225
O 3.229 -0.326 2.731
O 1.559 1.189 0.568
O -0.843 3.548 4.062
O 4.102 -1.416 5.089
O 4.476 1.358 0.677
```

Its energy is -7.903 eV/atom. As for the space group: C2/c, No. 15.